This record from the Alexandria database describes crystalline KUCl4 at its relaxed geometry. The functional is PBE.

Cell lengths 7.000, 7.704, 8.985 Å; angles 112.06, 109.33, 97.86 degrees
Each line ends with the local moment (μB).
Positions (direct):
Cl  0.477  0.739  0.931  -0.02
Cl  0.189  0.366  0.415  -0.01
Cl  0.811  0.634  0.585  -0.01
Cl  0.725  0.049  0.415  -0.01
Cl  0.046  0.809  0.069  -0.02
Cl  0.954  0.191  0.931  -0.02
Cl  0.523  0.261  0.069  -0.02
Cl  0.275  0.951  0.585  -0.01
U  0.167  0.917  0.833  2.89
U  0.833  0.083  0.167  2.89
K  0.400  0.650  0.299  0.00
K  0.600  0.350  0.701  0.00

Summary:
Distance to the lowest polymorph of the same formula   15 meV per atom
Formation energy (no corrections)   -1.777 eV per atom
Total magnetic moment   3.00 μB per formula unit